A plane-wave DFT calculation with PBE was carried out for an optimized crystal structure of TiCr2HgRu.

Summary:
Calculated formation energy, meV per atom: 1124
Calculated total energy, eV per formula unit: -31.10
Total magnetic moment, μB/atom: 0.72
V, Å³/f.u.: 106.4

Cell lengths 4.540, 5.164, 4.540 Å; angles 90.00, 90.00, 90.00 degrees
Element x y z (fractional)
Ru: 0.000 0.000 0.000
Ti: 0.500 0.500 0.500
Hg: 0.000 0.500 0.000
Cr: 0.000 0.000 0.500
Cr: 0.500 0.000 0.000

=====

A plane-wave DFT calculation with PBE was carried out for an optimized crystal structure of CrHgS.

Summary:
Calculated total energy, eV per formula unit: -14.71
Total magnetic moment, μB/atom: 0.75
V, Å³/f.u.: 69.9

Cell lengths 3.997, 3.997, 8.755 Å; angles 89.22, 89.22, 90.00 degrees
Element x y z (fractional)
S: 0.754 0.754 0.869
S: 0.246 0.246 0.131
Hg: 0.250 0.750 0.500
Hg: 0.750 0.250 0.500
Cr: 0.250 0.750 0.000
Cr: 0.750 0.250 0.000

=====

A plane-wave DFT calculation with PBE was carried out for an optimized crystal structure of Cr5Hg3S12.

Summary:
Calculated total energy, eV per formula unit: -103.30
Total magnetic moment, μB/atom: 0.43
V, Å³/f.u.: 409.1

Cell lengths 12.858, 12.858, 12.858 Å; angles 109.47, 109.47, 109.47 degrees
Element x y z (fractional)
Hg: 0.750 0.375 0.125
Hg: 0.875 0.750 0.125
Hg: 0.375 0.750 0.625
Hg: 0.250 0.125 0.375
Hg: 0.875 0.125 0.250
Hg: 0.375 0.625 0.250
Hg: 0.625 0.375 0.750
Hg: 0.125 0.875 0.750
Hg: 0.750 0.875 0.625
Hg: 0.625 0.250 0.375
Hg: 0.125 0.250 0.875
Hg: 0.250 0.625 0.875
Cr: 0.125 0.375 0.250
Cr: 0.000 0.500 0.000
Cr: 0.000 0.000 0.000
Cr: 0.375 0.250 0.125
Cr: 0.500 0.000 0.500
Cr: 0.500 0.500 0.000
Cr: 0.125 0.750 0.375
Cr: 0.750 0.125 0.875
Cr: 0.750 0.625 0.375
Cr: 0.375 0.125 0.750
Cr: 0.625 0.875 0.250
Cr: 0.500 0.500 0.500
Cr: 0.500 0.000 0.000
Cr: 0.000 0.000 0.500
Cr: 0.250 0.375 0.625
Cr: 0.250 0.875 0.125
Cr: 0.000 0.500 0.500
Cr: 0.875 0.250 0.625
Cr: 0.625 0.750 0.875
Cr: 0.875 0.625 0.750
S: 0.701 0.111 0.015
S: 0.315 0.515 0.405
S: 0.985 0.389 0.299
S: 0.515 0.201 0.111
S: 0.590 0.701 0.685
S: 0.985 0.595 0.185
S: 0.315 0.799 0.410
S: 0.095 0.910 0.111
S: 0.595 0.985 0.685
S: 0.701 0.590 0.185
S: 0.799 0.485 0.389
S: 0.815 0.905 0.015
S: 0.111 0.701 0.515
S: 0.389 0.405 0.090
S: 0.090 0.905 0.389
S: 0.410 0.111 0.595
S: 0.090 0.185 0.201
S: 0.485 0.685 0.095
S: 0.815 0.910 0.299
S: 0.111 0.410 0.095
S: 0.389 0.985 0.799
S: 0.595 0.611 0.410
S: 0.905 0.815 0.515
S: 0.799 0.315 0.910
S: 0.405 0.389 0.590
S: 0.095 0.185 0.485
S: 0.201 0.685 0.090
S: 0.185 0.090 0.701
S: 0.611 0.015 0.201
S: 0.889 0.590 0.905
S: 0.515 0.315 0.905
S: 0.590 0.889 0.405
S: 0.910 0.815 0.799
S: 0.910 0.095 0.611
S: 0.889 0.299 0.485
S: 0.185 0.095 0.985
S: 0.611 0.595 0.910
S: 0.405 0.015 0.315
S: 0.299 0.410 0.815
S: 0.201 0.515 0.611
S: 0.905 0.090 0.889
S: 0.685 0.201 0.590
S: 0.485 0.799 0.889
S: 0.015 0.405 0.815
S: 0.410 0.299 0.315
S: 0.015 0.611 0.701
S: 0.685 0.485 0.595
S: 0.299 0.889 0.985